Record 1
Cd3Ag3Pt: optimized geometry, PBE.

Calculated total energy, eV for the cell shown: -34.5
Excess energy over the best structure of this formula in the dataset, kJ/mol of formula units: 43.7

a b c (Å): 7.8107 7.8107 7.8107
angles (deg): 53.98 53.98 53.98
Atoms (fractional coordinates):
Cd 0.1886 0.3932 0.7511
Cd 0.2489 0.8114 0.6068
Cd 0.3932 0.7511 0.1886
Cd 0.6068 0.2489 0.8114
Cd 0.7511 0.1886 0.3932
Cd 0.8114 0.6068 0.2489
Ag 0.0669 0.2659 0.5633
Ag 0.2659 0.5633 0.0669
Ag 0.4367 0.9331 0.7341
Ag 0.5633 0.0669 0.2659
Ag 0.7341 0.4367 0.9331
Ag 0.9331 0.7341 0.4367
Pt 0.1868 0.1868 0.1868
Pt 0.8132 0.8132 0.8132

Record 2
Cd6Ag4Pt: optimized geometry, PBE.

Calculated total energy, eV for the cell shown: -23.2

a b c (Å): 8.3115 8.3115 8.3115
angles (deg): 140.55 140.55 57.02
Atoms (fractional coordinates):
Cd 0.0000 0.5000 0.5000
Cd 0.0246 0.6408 0.0000
Cd 0.3592 0.3592 0.3838
Cd 0.5000 0.0000 0.5000
Cd 0.6408 0.0246 0.0000
Cd 0.9754 0.9754 0.6162
Ag 0.1764 0.1764 0.6318
Ag 0.4553 0.8236 0.0000
Ag 0.5447 0.5447 0.3682
Ag 0.8236 0.4553 0.0000
Pt 0.0000 0.0000 0.0000

Record 3
Cd2AgPt: optimized geometry, PBE.

Calculated total energy, eV for the cell shown: -46.1

a b c (Å): 6.6576 6.6576 6.6576
angles (deg): 90.00 90.00 90.00
Atoms (fractional coordinates):
Cd 0.2500 0.2500 0.2500
Cd 0.2500 0.2500 0.7500
Cd 0.2500 0.7500 0.2500
Cd 0.2500 0.7500 0.7500
Cd 0.7500 0.2500 0.2500
Cd 0.7500 0.2500 0.7500
Cd 0.7500 0.7500 0.2500
Cd 0.7500 0.7500 0.7500
Ag 0.0000 0.0000 0.0000
Ag 0.0000 0.5000 0.5000
Ag 0.5000 0.0000 0.5000
Ag 0.5000 0.5000 0.0000
Pt 0.0000 0.0000 0.5000
Pt 0.0000 0.5000 0.0000
Pt 0.5000 0.0000 0.0000
Pt 0.5000 0.5000 0.5000

DOS at the Fermi energy for the records above, in order: 6.2, 4.1, 5.7 states/eV/cell
Density for the records above, in order: 9.817, 9.397, 11.880 Mg/m³
ΔH_f (0 K) for the records above, in order: 0.01, -0.03, -0.20 eV/atom